(1)
First-principles (PBE) data for a geometry-optimized Sm2SbPd structure, as listed in Alexandria.

Summary:
Formation energy without anion corrections (meV per atom): -824
Crystal system: trigonal
Theoretical density (g/cm3): 7.610

abc: 4.3359 4.3359 7.5176
angles: 73.24 73.24 60.00
Closest atoms and distances in Å follow each position.
Positions (direct):
Sb 0.5000 0.5000 0.5000  6 Sm 3.15
Pd 0.0000 0.0000 0.0000  6 Sm 2.99
Sm 0.2567 0.2567 0.2298  3 Pd 2.99, 3 Sb 3.15
Sm 0.7433 0.7433 0.7702  3 Pd 2.99, 3 Sb 3.15

***

(2)
First-principles (PBE) data for a geometry-optimized CsZr2AlP4O16 structure, as listed in Alexandria.

Summary:
Formation energy without anion corrections (meV per atom): -2706
Crystal system: orthorhombic
Theoretical density (g/cm3): 3.103

abc: 8.8792 9.5354 18.2610
angles: 90.00 90.00 90.00
Closest atoms and distances in Å follow each position.
Positions (direct):
Al 0.8001 0.6016 0.7500  4 O 1.74-1.76
Al 0.1999 0.3984 0.2500  4 O 1.74-1.76
Al 0.1999 0.1016 0.7500  4 O 1.74-1.76
Al 0.8001 0.8984 0.2500  4 O 1.74-1.76
Cs 0.3453 0.7486 0.7500  7 O 3.17-3.40
Cs 0.6547 0.2514 0.2500  7 O 3.17-3.40
Cs 0.6547 0.2486 0.7500  7 O 3.17-3.40
Cs 0.3453 0.7514 0.2500  7 O 3.17-3.40
O 0.1041 0.2607 0.7500  1 P 1.55
O 0.8959 0.7393 0.2500  1 P 1.55
O 0.8959 0.7607 0.7500  1 P 1.55
O 0.1041 0.2393 0.2500  1 P 1.55
O 0.9288 0.4616 0.7500  1 P 1.55
O 0.0712 0.5384 0.2500  1 P 1.55
O 0.0712 0.9616 0.7500  1 P 1.55
O 0.9288 0.0384 0.2500  1 P 1.55
O 0.1763 0.4831 0.8180  1 P 1.53
O 0.8237 0.5169 0.3180  1 P 1.53
O 0.8237 0.9831 0.6820  1 P 1.53
O 0.1763 0.0169 0.1820  1 P 1.53
O 0.8237 0.5169 0.1820  1 P 1.53
O 0.1763 0.4831 0.6820  1 P 1.53
O 0.1763 0.0169 0.3180  1 P 1.53
O 0.8237 0.9831 0.8180  1 P 1.53
O 0.0646 0.3405 0.9490  1 P 1.54
O 0.9354 0.6595 0.4490  1 P 1.54
O 0.9354 0.8405 0.5510  1 P 1.54
O 0.0646 0.1595 0.0510  1 P 1.54
O 0.9354 0.6595 0.0510  1 P 1.54
O 0.0646 0.3405 0.5510  1 P 1.54
O 0.0646 0.1595 0.4490  1 P 1.54
O 0.9354 0.8405 0.9490  1 P 1.54
O 0.1345 0.6530 0.9528  1 P 1.55
O 0.8655 0.3470 0.4528  1 P 1.55
O 0.8655 0.1530 0.5472  1 P 1.55
O 0.1345 0.8470 0.0472  1 P 1.55
O 0.8655 0.3470 0.0472  1 P 1.55
O 0.1345 0.6530 0.5472  1 P 1.55
O 0.1345 0.8470 0.4528  1 P 1.55
O 0.8655 0.1530 0.9528  1 P 1.55
O 0.4396 0.5875 0.8956  1 P 1.54
O 0.5604 0.4125 0.3956  1 P 1.54
O 0.5604 0.0875 0.6044  1 P 1.54
O 0.4396 0.9125 0.1044  1 P 1.54
O 0.5604 0.4125 0.1044  1 P 1.54
O 0.4396 0.5875 0.6044  1 P 1.54
O 0.4396 0.9125 0.3956  1 P 1.54
O 0.5604 0.0875 0.8956  1 P 1.54
O 0.6845 0.5521 0.9629  1 P 1.54
O 0.3155 0.4479 0.4629  1 P 1.54
O 0.3155 0.0521 0.5371  1 P 1.54
O 0.6845 0.9479 0.0371  1 P 1.54
O 0.3155 0.4479 0.0371  1 P 1.54
O 0.6845 0.5521 0.5371  1 P 1.54
O 0.6845 0.9479 0.4629  1 P 1.54
O 0.3155 0.0521 0.9629  1 P 1.54
O 0.6250 0.7866 0.9013  1 P 1.54
O 0.3750 0.2134 0.4013  1 P 1.54
O 0.3750 0.2866 0.5987  1 P 1.54
O 0.6250 0.7134 0.0987  1 P 1.54
O 0.3750 0.2134 0.0987  1 P 1.54
O 0.6250 0.7866 0.5987  1 P 1.54
O 0.6250 0.7134 0.4013  1 P 1.54
O 0.3750 0.2866 0.9013  1 P 1.54
O 0.6807 0.5735 0.8252  1 P 1.56
O 0.3193 0.4265 0.3252  1 P 1.56
O 0.3193 0.0735 0.6748  1 P 1.56
O 0.6807 0.9265 0.1748  1 P 1.56
O 0.3193 0.4265 0.1748  1 P 1.56
O 0.6807 0.5735 0.6748  1 P 1.56
O 0.6807 0.9265 0.3252  1 P 1.56
O 0.3193 0.0735 0.8252  1 P 1.56
P 0.0982 0.4226 0.7500  4 O 1.53-1.55
P 0.9018 0.5774 0.2500  4 O 1.53-1.55
P 0.9018 0.9226 0.7500  4 O 1.53-1.55
P 0.0982 0.0774 0.2500  4 O 1.53-1.55
P 0.0344 0.7500 0.0000  4 O 1.54-1.55
P 0.9656 0.2500 0.5000  4 O 1.54-1.55
P 0.9656 0.2500 0.0000  4 O 1.54-1.55
P 0.0344 0.7500 0.5000  4 O 1.54-1.55
P 0.6083 0.6262 0.8981  4 O 1.54-1.56
P 0.3917 0.3738 0.3981  4 O 1.54-1.56
P 0.3917 0.1262 0.6019  4 O 1.54-1.56
P 0.6083 0.8738 0.1019  4 O 1.54-1.56
P 0.3917 0.3738 0.1019  4 O 1.54-1.56
P 0.6083 0.6262 0.6019  4 O 1.54-1.56
P 0.6083 0.8738 0.3981  4 O 1.54-1.56
P 0.3917 0.1262 0.8981  4 O 1.54-1.56
Zr 0.2492 0.4693 0.9286  6 O 2.07-2.13
Zr 0.7508 0.5307 0.4286  6 O 2.07-2.13
Zr 0.7508 0.9693 0.5714  6 O 2.07-2.13
Zr 0.2492 0.0307 0.0714  6 O 2.07-2.13
Zr 0.7508 0.5307 0.0714  6 O 2.07-2.13
Zr 0.2492 0.4693 0.5714  6 O 2.07-2.13
Zr 0.2492 0.0307 0.4286  6 O 2.07-2.13
Zr 0.7508 0.9693 0.9286  6 O 2.07-2.13

***

What is the formation energy without anion corrections in the second record?
-2706 meV per atom

***

Which value of theoretical density does entry 2 give?
3.103 g/cm3